# 1
{
  "formula": "Sr2InCl",
  "functional": "GGA-PBE",
  "state": "relaxed",
  "sg": "No. 225",
  "magmom_total_mub_per_cell": 2.00,
  "crystal_system": "cubic",
  "cell": [[0.000, 4.091, 4.091], [4.091, 0.000, 4.091], [4.091, 4.091, 0.000]],
  "species": ["Sr", "Sr", "In", "Cl"],
  "fractional_positions": [[0.250, 0.250, 0.250], [0.750, 0.750, 0.750], [0.000, 0.000, 0.000], [0.500, 0.500, 0.500]]
}

---

# 2
{
  "formula": "SrInCl2",
  "functional": "GGA-PBE",
  "state": "relaxed",
  "sg": "No. 38",
  "magmom_total_mub_per_cell": 0.85,
  "crystal_system": "orthorhombic",
  "cell": [[5.797, 0.000, 0.000], [0.000, 2.416, 4.820], [0.000, -2.416, 4.820]],
  "species": ["Sr", "In", "Cl", "Cl"],
  "fractional_positions": [[0.000, 0.000, 0.000], [0.500, 0.628, 0.628], [0.000, 0.310, 0.310], [0.500, 0.943, 0.943]]
}

---

# 3
{
  "formula": "SrInCl2",
  "functional": "GGA-PBE",
  "state": "relaxed",
  "sg": "No. 10",
  "magmom_total_mub_per_cell": 0.63,
  "crystal_system": "monoclinic",
  "cell": [[5.818, 0.000, 0.000], [0.000, 4.230, 0.000], [-0.942, 0.000, 5.840]],
  "species": ["Sr", "In", "Cl", "Cl"],
  "fractional_positions": [[0.000, 0.000, 0.000], [0.500, 0.000, 0.500], [0.218, 0.500, 0.781], [0.782, 0.500, 0.219]]
}

---

# 4
{
  "formula": "SrInCl2",
  "functional": "GGA-PBE",
  "state": "relaxed",
  "sg": "No. 47",
  "magmom_total_mub_per_cell": 0.71,
  "crystal_system": "orthorhombic",
  "cell": [[4.108, 0.000, 0.000], [0.000, 4.530, 0.000], [0.000, 0.000, 6.239]],
  "species": ["Sr", "In", "Cl", "Cl"],
  "fractional_positions": [[0.000, 0.000, 0.000], [0.500, 0.000, 0.500], [0.000, 0.500, 0.500], [0.500, 0.500, 0.000]]
}

---

Number 1: energy above the lowest structure with this stoichiometry 330.6 meV per atom. Number 2: energy above the lowest structure with this stoichiometry 165.5 meV per atom. Number 3: energy above the lowest structure with this stoichiometry 194.6 meV per atom. Number 4: energy above the lowest structure with this stoichiometry 247.4 meV per atom.